# 1
# GGA-PBE Tb2PrHo6, optimized geometry
data_Tb2PrHo6
_space_group_name_H-M_alt 'P 1'
_space_group_IT_number 1
_cell_length_a 7.348
_cell_length_b 7.348
_cell_length_c 7.634
_cell_angle_alpha 61.23
_cell_angle_beta 61.23
_cell_angle_gamma 60.00
loop_
_space_group_symop_operation_xyz
'x,y,z'
loop_
_atom_site_label
_atom_site_type_symbol
_atom_site_fract_x
_atom_site_fract_y
_atom_site_fract_z
_atom_site_occupancy
Ho1 Ho 0.783 0.260 0.696 1
Ho2 Ho 0.261 0.783 0.696 1
Ho3 Ho 0.614 0.048 0.291 1
Ho4 Ho 0.047 0.614 0.291 1
Ho5 Ho 0.260 0.261 0.696 1
Ho6 Ho 0.048 0.047 0.291 1
Tb1 Tb 0.756 0.756 0.733 1
Tb2 Tb 0.580 0.580 0.261 1
Pr1 Pr 0.317 0.317 0.050 1
# * raw total energy: -38.44 eV per cell
# * space-group type: R3m (160)
# * energy of formation from the pure elements: 0.341 eV/atom

# 2
# GGA-PBE TbPr2Ho5, optimized geometry
data_TbPr2Ho5
_space_group_name_H-M_alt 'P 1'
_space_group_IT_number 1
_cell_length_a 9.901
_cell_length_b 6.568
_cell_length_c 10.797
_cell_angle_alpha 119.22
_cell_angle_beta 117.29
_cell_angle_gamma 90.00
loop_
_space_group_symop_operation_xyz
'x,y,z'
loop_
_atom_site_label
_atom_site_type_symbol
_atom_site_fract_x
_atom_site_fract_y
_atom_site_fract_z
_atom_site_occupancy
Tb1 Tb 0.000 0.000 0.500 1
Tb2 Tb 0.500 0.500 0.500 1
Ho1 Ho 0.286 0.870 0.397 1
Ho2 Ho 0.689 0.052 0.201 1
Ho3 Ho 0.940 0.750 0.000 1
Ho4 Ho 0.488 0.448 0.799 1
Ho5 Ho 0.111 0.370 0.397 1
Ho6 Ho 0.889 0.630 0.603 1
Ho7 Ho 0.714 0.130 0.603 1
Ho8 Ho 0.311 0.948 0.799 1
Ho9 Ho 0.512 0.552 0.201 1
Ho10 Ho 0.060 0.250 0.000 1
Pr1 Pr 0.334 0.041 0.159 1
Pr2 Pr 0.174 0.459 0.841 1
Pr3 Pr 0.666 0.959 0.841 1
Pr4 Pr 0.826 0.541 0.159 1
# * raw total energy: -71.46 eV per cell
# * space-group type: C2/c (15)
# * energy of formation from the pure elements: 0.168 eV/atom

# 3
# GGA-PBE Tb2Pr5Ho12, optimized geometry
data_Tb2Pr5Ho12
_space_group_name_H-M_alt 'P 1'
_space_group_IT_number 1
_cell_length_a 7.064
_cell_length_b 9.857
_cell_length_c 10.411
_cell_angle_alpha 70.26
_cell_angle_beta 90.00
_cell_angle_gamma 111.00
loop_
_space_group_symop_operation_xyz
'x,y,z'
loop_
_atom_site_label
_atom_site_type_symbol
_atom_site_fract_x
_atom_site_fract_y
_atom_site_fract_z
_atom_site_occupancy
Pr1 Pr 0.681 0.362 0.789 1
Pr2 Pr 0.813 0.626 0.181 1
Pr3 Pr 0.000 0.000 0.500 1
Pr4 Pr 0.187 0.374 0.819 1
Pr5 Pr 0.319 0.638 0.211 1
Ho1 Ho 0.498 0.996 0.675 1
Ho2 Ho 0.595 0.684 0.868 1
Ho3 Ho 0.025 0.049 0.755 1
Ho4 Ho 0.090 0.674 0.520 1
Ho5 Ho 0.416 0.326 0.480 1
Ho6 Ho 0.975 0.951 0.245 1
Ho7 Ho 0.405 0.316 0.132 1
Ho8 Ho 0.584 0.674 0.520 1
Ho9 Ho 0.910 0.316 0.132 1
Ho10 Ho 0.502 0.004 0.325 1
Ho11 Ho 0.090 0.684 0.868 1
Ho12 Ho 0.910 0.326 0.480 1
Tb1 Tb 0.274 0.000 0.000 1
Tb2 Tb 0.726 0.000 0.000 1
# * raw total energy: -84.71 eV per cell
# * space-group type: C2/m (12)
# * energy of formation from the pure elements: 0.178 eV/atom

Please write out number 1 again, unchanged.
# GGA-PBE Tb2PrHo6, optimized geometry
data_Tb2PrHo6
_space_group_name_H-M_alt 'P 1'
_space_group_IT_number 1
_cell_length_a 7.348
_cell_length_b 7.348
_cell_length_c 7.634
_cell_angle_alpha 61.23
_cell_angle_beta 61.23
_cell_angle_gamma 60.00
loop_
_space_group_symop_operation_xyz
'x,y,z'
loop_
_atom_site_label
_atom_site_type_symbol
_atom_site_fract_x
_atom_site_fract_y
_atom_site_fract_z
_atom_site_occupancy
Ho1 Ho 0.783 0.260 0.696 1
Ho2 Ho 0.261 0.783 0.696 1
Ho3 Ho 0.614 0.048 0.291 1
Ho4 Ho 0.047 0.614 0.291 1
Ho5 Ho 0.260 0.261 0.696 1
Ho6 Ho 0.048 0.047 0.291 1
Tb1 Tb 0.756 0.756 0.733 1
Tb2 Tb 0.580 0.580 0.261 1
Pr1 Pr 0.317 0.317 0.050 1
# * raw total energy: -38.44 eV per cell
# * space-group type: R3m (160)
# * energy of formation from the pure elements: 0.341 eV/atom

energy of formation from the pure elements of number 3 (Tb2Pr5Ho12)?
0.178 eV/atom

The highest raw total energy belongs to which entry?
Tb2PrHo6

Which formula does entry 2 have?
TbPr2Ho5